[1]
First-principles (PBE-GGA) data for crystalline Y2Er3Tm at its relaxed geometry, as listed in the Alexandria database.

Values from the calculation:
energy above the most stable polymorph in this dataset = 0.00 eV per formula unit

a b c (Å): 9.331 9.331 6.102
angles (deg): 90.01 90.01 44.41
Fractional positions:
Y 0.041 0.292 0.084
Y 0.292 0.041 0.584
Y 0.708 0.959 0.416
Y 0.959 0.708 0.916
Er 0.126 0.874 0.250
Er 0.210 0.459 0.418
Er 0.459 0.210 0.918
Er 0.541 0.790 0.082
Er 0.790 0.541 0.582
Er 0.874 0.126 0.750
Tm 0.376 0.624 0.750
Tm 0.624 0.376 0.250



[2]
First-principles (PBE-GGA) data for crystalline Y12Er6Tm at its relaxed geometry, as listed in the Alexandria database.

Values from the calculation:
energy above the most stable polymorph in this dataset = 2.08 eV per formula unit

a b c (Å): 9.105 9.105 9.105
angles (deg): 106.67 106.67 106.67
Fractional positions:
Y 0.134 0.282 0.825
Y 0.175 0.866 0.718
Y 0.190 0.484 0.579
Y 0.282 0.825 0.134
Y 0.421 0.810 0.516
Y 0.484 0.579 0.190
Y 0.516 0.421 0.810
Y 0.579 0.190 0.484
Y 0.718 0.175 0.866
Y 0.810 0.516 0.421
Y 0.825 0.134 0.282
Y 0.866 0.718 0.175
Er 0.078 0.451 0.185
Er 0.185 0.078 0.451
Er 0.451 0.185 0.078
Er 0.549 0.815 0.922
Er 0.815 0.922 0.549
Er 0.922 0.549 0.815
Tm 0.000 0.000 0.000



[3]
First-principles (PBE-GGA) data for crystalline Y4Er5Tm at its relaxed geometry, as listed in the Alexandria database.

Values from the calculation:
energy above the most stable polymorph in this dataset = 1.93 eV per formula unit

a b c (Å): 8.010 8.010 8.010
angles (deg): 97.64 97.64 137.24
Fractional positions:
Y 0.000 0.321 0.321
Y 0.000 0.679 0.679
Y 0.321 0.000 0.321
Y 0.679 0.000 0.679
Er 0.237 0.237 0.000
Er 0.313 0.313 0.623
Er 0.313 0.689 0.000
Er 0.689 0.313 0.000
Er 0.689 0.689 0.377
Tm 0.764 0.764 0.000



[4]
First-principles (PBE-GGA) data for crystalline Y12ErTm5 at its relaxed geometry, as listed in the Alexandria database.

a b c (Å): 6.207 6.207 17.192
angles (deg): 93.36 93.36 120.10
Fractional positions:
Y 0.055 0.721 0.166
Y 0.110 0.110 0.334
Y 0.223 0.556 0.666
Y 0.279 0.945 0.834
Y 0.388 0.388 0.166
Y 0.444 0.777 0.334
Y 0.556 0.223 0.666
Y 0.612 0.612 0.834
Y 0.721 0.055 0.166
Y 0.777 0.444 0.334
Y 0.890 0.890 0.666
Y 0.945 0.279 0.834
Er 0.500 0.500 0.500
Tm 0.000 0.000 0.000
Tm 0.167 0.833 0.500
Tm 0.333 0.667 0.000
Tm 0.667 0.333 0.000
Tm 0.833 0.167 0.500



[5]
First-principles (PBE-GGA) data for crystalline YEr3Tm at its relaxed geometry, as listed in the Alexandria database.

Values from the calculation:
energy above the most stable polymorph in this dataset = 0.57 eV per formula unit

a b c (Å): 6.641 6.641 8.532
angles (deg): 106.38 106.38 63.32
Fractional positions:
Y 0.058 0.058 0.234
Y 0.942 0.942 0.766
Er 0.095 0.595 0.381
Er 0.405 0.905 0.619
Er 0.439 0.439 0.757
Er 0.561 0.561 0.243
Er 0.595 0.095 0.381
Er 0.905 0.405 0.619
Tm 0.256 0.256 0.000
Tm 0.744 0.744 0.000



[6]
First-principles (PBE-GGA) data for crystalline Y5ErTm4 at its relaxed geometry, as listed in the Alexandria database.

Values from the calculation:
energy above the most stable polymorph in this dataset = 0.54 eV per formula unit

a b c (Å): 5.406 7.004 8.716
angles (deg): 89.95 72.03 89.97
Fractional positions:
Y 0.000 0.000 0.000
Y 0.189 0.251 0.620
Y 0.389 0.747 0.222
Y 0.590 0.747 0.819
Y 0.779 0.999 0.441
Er 0.390 0.250 0.219
Tm 0.000 0.497 0.000
Tm 0.190 0.747 0.619
Tm 0.589 0.251 0.823
Tm 0.779 0.499 0.440



[7]
First-principles (PBE-GGA) data for crystalline Y2Er2Tm3 at its relaxed geometry, as listed in the Alexandria database.

Values from the calculation:
energy above the most stable polymorph in this dataset = 1.55 eV per formula unit

a b c (Å): 8.324 8.324 8.324
angles (deg): 109.47 109.47 109.47
Fractional positions:
Y 0.000 0.808 0.500
Y 0.500 0.000 0.808
Y 0.692 0.692 0.692
Y 0.808 0.500 0.000
Er 0.000 0.407 0.500
Er 0.093 0.093 0.093
Er 0.407 0.500 0.000
Er 0.500 0.000 0.407
Tm 0.188 0.750 0.938
Tm 0.250 0.562 0.312
Tm 0.312 0.250 0.562
Tm 0.562 0.312 0.250
Tm 0.750 0.938 0.188
Tm 0.938 0.188 0.750



[8]
First-principles (PBE-GGA) data for crystalline Y2ErTm7 at its relaxed geometry, as listed in the Alexandria database.

Values from the calculation:
energy above the most stable polymorph in this dataset = 0.00 eV per formula unit

a b c (Å): 15.015 15.015 3.464
angles (deg): 90.08 90.08 156.76
Fractional positions:
Y 0.208 0.792 0.000
Y 0.792 0.208 0.000
Er 0.000 0.000 0.500
Tm 0.146 0.345 0.769
Tm 0.310 0.690 0.500
Tm 0.345 0.146 0.769
Tm 0.500 0.500 0.000
Tm 0.655 0.854 0.231
Tm 0.690 0.310 0.500
Tm 0.854 0.655 0.231



[9]
First-principles (PBE-GGA) data for crystalline Y3Er3Tm at its relaxed geometry, as listed in the Alexandria database.

Values from the calculation:
energy above the most stable polymorph in this dataset = 0.98 eV per formula unit

a b c (Å): 14.487 14.487 14.487
angles (deg): 24.49 24.49 24.49
Fractional positions:
Y 0.100 0.434 0.767
Y 0.233 0.900 0.566
Y 0.434 0.767 0.100
Y 0.566 0.233 0.900
Y 0.767 0.100 0.434
Y 0.900 0.566 0.233
Er 0.035 0.698 0.366
Er 0.302 0.634 0.965
Er 0.366 0.035 0.698
Er 0.634 0.965 0.302
Er 0.698 0.366 0.035
Er 0.965 0.302 0.634
Tm 0.167 0.167 0.167
Tm 0.833 0.833 0.833



[10]
First-principles (PBE-GGA) data for crystalline YEr3Tm5 at its relaxed geometry, as listed in the Alexandria database.

Values from the calculation:
energy above the most stable polymorph in this dataset = 2.88 eV per formula unit

a b c (Å): 9.039 9.039 11.618
angles (deg): 123.41 123.41 57.37
Fractional positions:
Y 0.137 0.137 0.353
Y 0.863 0.863 0.647
Er 0.000 0.000 0.000
Er 0.000 0.000 0.500
Er 0.256 0.256 0.196
Er 0.275 0.275 0.710
Er 0.725 0.725 0.290
Er 0.744 0.744 0.804
Tm 0.066 0.706 0.171
Tm 0.294 0.934 0.829
Tm 0.321 0.679 0.000
Tm 0.346 0.346 0.029
Tm 0.446 0.446 0.603
Tm 0.554 0.554 0.397
Tm 0.654 0.654 0.971
Tm 0.679 0.321 0.000
Tm 0.706 0.066 0.171
Tm 0.934 0.294 0.829



[11]
First-principles (PBE-GGA) data for crystalline Y7ErTm12 at its relaxed geometry, as listed in the Alexandria database.

Values from the calculation:
energy above the most stable polymorph in this dataset = 10.59 eV per formula unit

a b c (Å): 9.629 9.629 9.629
angles (deg): 109.47 109.47 109.47
Fractional positions:
Y 0.000 0.000 0.500
Y 0.000 0.500 0.000
Y 0.000 0.500 0.500
Y 0.500 0.000 0.000
Y 0.500 0.000 0.500
Y 0.500 0.500 0.000
Y 0.500 0.500 0.500
Er 0.000 0.000 0.000
Tm 0.000 0.246 0.754
Tm 0.000 0.754 0.246
Tm 0.246 0.000 0.754
Tm 0.246 0.246 0.492
Tm 0.246 0.492 0.246
Tm 0.246 0.754 0.000
Tm 0.492 0.246 0.246
Tm 0.508 0.754 0.754
Tm 0.754 0.000 0.246
Tm 0.754 0.246 0.000
Tm 0.754 0.508 0.754
Tm 0.754 0.754 0.508



[12]
First-principles (PBE-GGA) data for crystalline YEr8Tm2 at its relaxed geometry, as listed in the Alexandria database.

Values from the calculation:
energy above the most stable polymorph in this dataset = 0.00 eV per formula unit

a b c (Å): 9.209 9.209 9.209
angles (deg): 145.74 127.89 63.86
Fractional positions:
Y 0.000 0.000 0.000
Er 0.155 0.861 0.294
Er 0.161 0.661 0.500
Er 0.296 0.500 0.796
Er 0.433 0.139 0.294
Er 0.567 0.861 0.706
Er 0.704 0.500 0.204
Er 0.839 0.339 0.500
Er 0.845 0.139 0.706
Tm 0.299 0.299 0.000
Tm 0.701 0.701 0.000



[13]
First-principles (PBE-GGA) data for crystalline Y3Er2Tm5 at its relaxed geometry, as listed in the Alexandria database.

Values from the calculation:
energy above the most stable polymorph in this dataset = 0.00 eV per formula unit

a b c (Å): 9.416 9.416 9.406
angles (deg): 108.31 108.31 111.86
Fractional positions:
Y 0.029 0.269 0.045
Y 0.233 0.767 0.750
Y 0.269 0.029 0.545
Y 0.731 0.971 0.455
Y 0.767 0.233 0.250
Y 0.971 0.731 0.955
Er 0.234 0.470 0.451
Er 0.470 0.234 0.951
Er 0.530 0.766 0.049
Er 0.766 0.530 0.549
Tm 0.030 0.970 0.750
Tm 0.140 0.359 0.748
Tm 0.270 0.730 0.250
Tm 0.359 0.140 0.248
Tm 0.472 0.528 0.250
Tm 0.528 0.472 0.750
Tm 0.641 0.860 0.752
Tm 0.730 0.270 0.750
Tm 0.860 0.641 0.252
Tm 0.970 0.030 0.250



[14]
First-principles (PBE-GGA) data for crystalline Y2Er7Tm4 at its relaxed geometry, as listed in the Alexandria database.

a b c (Å): 6.002 6.002 13.152
angles (deg): 90.00 90.00 120.00
Fractional positions:
Y 0.333 0.667 0.000
Y 0.667 0.333 0.000
Er 0.000 0.000 0.000
Er 0.000 0.352 0.217
Er 0.000 0.648 0.783
Er 0.352 0.000 0.217
Er 0.352 0.352 0.783
Er 0.648 0.000 0.783
Er 0.648 0.648 0.217
Tm 0.000 0.000 0.395
Tm 0.000 0.000 0.605
Tm 0.333 0.667 0.500
Tm 0.667 0.333 0.500



[15]
First-principles (PBE-GGA) data for crystalline Y2Er6Tm5 at its relaxed geometry, as listed in the Alexandria database.

a b c (Å): 11.545 19.891 3.535
angles (deg): 90.00 90.00 90.00
Fractional positions:
Y 0.163 0.211 0.000
Y 0.337 0.711 0.000
Y 0.663 0.289 0.000
Y 0.837 0.789 0.000
Er 0.058 0.920 0.000
Er 0.084 0.633 0.000
Er 0.173 0.369 0.500
Er 0.327 0.869 0.500
Er 0.416 0.133 0.000
Er 0.442 0.420 0.000
Er 0.558 0.580 0.000
Er 0.584 0.867 0.000
Er 0.673 0.131 0.500
Er 0.827 0.631 0.500
Er 0.916 0.367 0.000
Er 0.942 0.080 0.000
Tm 0.000 0.500 0.500
Tm 0.096 0.775 0.500
Tm 0.199 0.050 0.500
Tm 0.301 0.550 0.500
Tm 0.404 0.275 0.500
Tm 0.500 0.000 0.500
Tm 0.596 0.725 0.500
Tm 0.699 0.450 0.500
Tm 0.801 0.950 0.500
Tm 0.904 0.225 0.500



[16]
First-principles (PBE-GGA) data for crystalline Y4Er5Tm2 at its relaxed geometry, as listed in the Alexandria database.

Values from the calculation:
energy above the most stable polymorph in this dataset = 1.82 eV per formula unit

a b c (Å): 12.487 12.487 12.487
angles (deg): 163.93 137.98 45.27
Fractional positions:
Y 0.098 0.098 0.000
Y 0.193 0.500 0.693
Y 0.807 0.500 0.307
Y 0.902 0.902 0.000
Er 0.157 0.355 0.803
Er 0.448 0.645 0.803
Er 0.500 0.000 0.500
Er 0.552 0.355 0.197
Er 0.843 0.645 0.197
Tm 0.232 0.232 0.000
Tm 0.768 0.768 0.000



[17]
First-principles (PBE-GGA) data for crystalline Y5ErTm5 at its relaxed geometry, as listed in the Alexandria database.

Values from the calculation:
energy above the most stable polymorph in this dataset = 0.00 eV per formula unit

a b c (Å): 6.815 6.816 8.497
angles (deg): 75.08 75.06 70.25
Fractional positions:
Y 0.000 0.000 0.000
Y 0.145 0.147 0.363
Y 0.313 0.316 0.636
Y 0.687 0.684 0.364
Y 0.855 0.853 0.637
Er 0.500 0.000 0.000
Tm 0.000 0.500 0.000
Tm 0.228 0.648 0.274
Tm 0.352 0.773 0.725
Tm 0.648 0.227 0.275
Tm 0.772 0.352 0.726



[18]
First-principles (PBE-GGA) data for crystalline Y5ErTm4 at its relaxed geometry, as listed in the Alexandria database.

Values from the calculation:
energy above the most stable polymorph in this dataset = 0.00 eV per formula unit

a b c (Å): 6.243 6.662 9.132
angles (deg): 72.41 89.98 62.08
Fractional positions:
Y 0.000 0.000 0.000
Y 0.069 0.200 0.301
Y 0.272 0.798 0.702
Y 0.602 0.799 0.200
Y 0.672 0.001 0.502
Er 0.205 0.598 0.402
Tm 0.402 0.200 0.801
Tm 0.467 0.400 0.100
Tm 0.805 0.401 0.602
Tm 0.869 0.599 0.901



VASP energy, record by record: -5.154; -5.497; -5.064; -5.798; -4.801; -5.423; -4.819; -4.754; -5.221; -4.224; -4.411; -4.597; -4.883; -4.635; -4.719; -4.966; -5.228; -5.477 eV per atom